Record 1
Below is a relaxed structure of K2InFe, with properties calculated at the PBE level.

Properties
Formation enthalpy at 0 K (eV per atom): 0.7568

Unit cell a=4.735 b=4.883 c=11.142 alpha=90.00 beta=90.00 gamma=90.00
Space group Cmmm (No. 65)
Asymmetric unit:
K 0.000 0.000 0.231 (multiplicity 4)
In 0.000 0.500 0.500 (multiplicity 2)
Fe 0.000 0.500 0.000 (multiplicity 2)

---

Record 2
Below is a relaxed structure of K3InFe, with properties calculated at the PBE level.

Properties
Polymorph energy (0 for the lowest one) (kJ/mol of atoms): 0.0
Formation enthalpy at 0 K (eV per atom): 0.8360

Unit cell a=6.307 b=6.307 c=6.307 alpha=90.00 beta=90.00 gamma=90.00
Space group Pm-3m (No. 221)
Asymmetric unit:
K 0.000 0.000 0.500 (multiplicity 3)
In 0.500 0.500 0.500 (multiplicity 1)
Fe 0.000 0.000 0.000 (multiplicity 1)

---

Record 3
Below is a relaxed structure of KInFe, with properties calculated at the PBE level.

Properties
Polymorph energy (0 for the lowest one) (kJ/mol of atoms): 23.5
Formation enthalpy at 0 K (eV per atom): 0.7259

Unit cell a=5.2082 b=5.2082 c=3.2857 alpha=90.00 beta=90.00 gamma=120.00
Space group P-6m2 (No. 187)
Asymmetric unit:
K 0.0000 0.0000 0.0000 (multiplicity 1)
In 0.3333 0.6667 0.5000 (multiplicity 1)
Fe 0.6667 0.3333 0.5000 (multiplicity 1)

---

Record 4
Below is a relaxed structure of K2InFe, with properties calculated at the PBE level.

Properties
Formation enthalpy at 0 K (eV per atom): 0.5215

Unit cell a=4.568 b=6.052 c=10.706 alpha=90.00 beta=90.00 gamma=90.00
Space group Imm2 (No. 44)
Asymmetric unit:
K 0.000 0.000 0.000 (multiplicity 2)
K 0.000 0.500 0.199 (multiplicity 2)
In 0.000 0.000 0.412 (multiplicity 2)
Fe 0.000 0.500 0.800 (multiplicity 2)

---

Record 5
Below is a relaxed structure of KIn2Fe, with properties calculated at the PBE level.

Properties
Polymorph energy (0 for the lowest one) (kJ/mol of atoms): 13.6
Formation enthalpy at 0 K (eV per atom): 0.3634

Unit cell a=9.626 b=3.063 c=8.329 alpha=90.00 beta=109.78 gamma=90.00
Space group Cm (No. 8)
Asymmetric unit:
K 0.000 0.000 0.000 (multiplicity 2)
In 0.172 0.000 0.672 (multiplicity 2)
In 0.373 0.000 0.356 (multiplicity 2)
Fe 0.157 0.500 0.399 (multiplicity 2)

---

Record 6
Below is a relaxed structure of K2InFe, with properties calculated at the PBE level.

Properties
Formation enthalpy at 0 K (eV per atom): 0.7058

Unit cell a=4.601 b=4.601 c=5.772 alpha=90.00 beta=90.00 gamma=90.00
Space group P4/mmm (No. 123)
Asymmetric unit:
K 0.000 0.500 0.000 (multiplicity 2)
In 0.000 0.000 0.500 (multiplicity 1)
Fe 0.500 0.500 0.500 (multiplicity 1)